BaAu2O2 PBE-GGA optimized geometry; calculated volume = 98.5 Å³/f.u.; energy = -47.8 eV/cell
1.0
0.5940 6.0638 -1.0120
-5.7744 0.9659 1.9672
4.1637 -2.6448 4.3748
Au Ba O
4 2 4
direct
0.0000 0.5000 0.0000
0.5000 0.5000 0.0000
0.5000 0.0000 0.5000
0.5000 0.5000 0.5000
0.8709 0.1291 0.2500
0.1291 0.8709 0.7500
0.8650 0.6864 0.2476
0.3136 0.1350 0.2524
0.6864 0.8650 0.7476
0.1350 0.3136 0.7524

=====

Ba2ReAuO6 PBE-GGA optimized geometry; calculated volume = 152.0 Å³/f.u.; energy = -67.4 eV/cell; total magnetic moment = 0.00 μB/f.u.; polymorph energy (0 for the lowest one) = 0.000 eV per atom
1.0
-4.9147 -0.8415 2.9547
2.6986 -4.9739 -1.6613
4.6020 2.2451 2.9326
Au Ba O Re
1 2 6 1
direct
0.5000 0.5000 0.0000
0.0009 0.2530 0.2528
0.9991 0.7470 0.7472
0.4619 0.1421 0.2215
0.4335 0.6833 0.2803
0.0775 0.8346 0.3401
0.9225 0.1654 0.6599
0.5665 0.3167 0.7197
0.5381 0.8579 0.7785
0.5000 0.0000 0.5000

=====

Question: Look up the calculated volume of the first one.
Answer: 98.5 Å³/f.u.